No. 1
Entry from Alexandria: MnRuAu after structural relaxation (PBE).

abc: 5.975 5.975 5.975
angles: 152.49 152.49 39.29
Sites, in units of the cell vectors:
1 Au 0.996 0.996 0.000
2 Mn 0.321 0.321 0.000
3 Ru 0.684 0.684 0.000

Space-group type ... I4mm (107)
D(E_F) ... 2.82 states/eV per cell
ΔH_f (0 K) ... 0.16 eV per atom
Offset from the most stable computed form ... 0 meV/atom

***

No. 2
Entry from Alexandria: UNi2Te3 after structural relaxation (PBE).

abc: 4.089 7.543 10.798
angles: 105.70 90.00 90.00
Sites, in units of the cell vectors:
1 U 0.250 0.795 0.309
2 U 0.750 0.205 0.691
3 Ni 0.250 0.418 0.910
4 Ni 0.750 0.582 0.090
5 Ni 0.750 0.032 0.413
6 Ni 0.250 0.968 0.587
7 Te 0.750 0.942 0.160
8 Te 0.250 0.058 0.840
9 Te 0.750 0.589 0.856
10 Te 0.250 0.411 0.144
11 Te 0.250 0.253 0.480
12 Te 0.750 0.747 0.520

Space-group type ... P2_1/m (11)
D(E_F) ... 14.60 states/eV per cell
Formation energy without anion corrections ... -0.358 eV per atom

***

No. 3
Entry from Alexandria: Cd2Ga3Ag2 after structural relaxation (PBE).

abc: 4.335 5.377 7.049
angles: 108.23 90.00 113.77
Sites, in units of the cell vectors:
1 Cd 0.832 0.664 0.193
2 Cd 0.168 0.336 0.807
3 Ga 0.500 0.000 0.000
4 Ga 0.622 0.243 0.461
5 Ga 0.378 0.757 0.539
6 Ag 0.870 0.739 0.784
7 Ag 0.130 0.261 0.216

Space-group type ... C2/m (12)
D(E_F) ... 2.88 states/eV per cell
ΔH_f (0 K) ... 0.05 eV per atom

***

No. 4
Entry from Alexandria: LiGe2Pb2Au7 after structural relaxation (PBE).

abc: 4.265 4.265 14.742
angles: 76.64 76.64 88.88
Sites, in units of the cell vectors:
1 Li 0.000 0.000 0.000
2 Ge 0.695 0.695 0.751
3 Ge 0.305 0.305 0.249
4 Pb 0.744 0.744 0.370
5 Pb 0.256 0.256 0.630
6 Au 0.500 0.500 0.000
7 Au 0.226 0.226 0.434
8 Au 0.774 0.774 0.566
9 Au 0.891 0.392 0.139
10 Au 0.392 0.891 0.139
11 Au 0.608 0.109 0.861
12 Au 0.109 0.608 0.861

Space-group type ... C2/m (12)
D(E_F) ... 5.11 states/eV per cell
ΔH_f (0 K) ... -0.11 eV per atom

***

No. 5
Entry from Alexandria: CsH2I3 after structural relaxation (PBE).

abc: 5.996 15.503 32.284
angles: 155.48 73.29 127.86
Sites, in units of the cell vectors:
1 Cs 0.429 0.709 0.171
2 Cs 0.571 0.291 0.829
3 H 0.644 0.514 0.425
4 H 0.356 0.486 0.575
5 H 0.928 0.709 0.310
6 H 0.072 0.291 0.690
7 I 0.912 0.010 0.645
8 I 0.617 0.945 0.776
9 I 0.901 0.581 0.303
10 I 0.088 0.990 0.355
11 I 0.099 0.419 0.697
12 I 0.383 0.055 0.224

Space-group type ... P-1 (2)
D(E_F) ... 0.00 states/eV per cell
E ... -2.55 eV per atom

***

No. 6
Entry from Alexandria: UP12Os4 after structural relaxation (PBE).

abc: 7.017 7.017 7.017
angles: 109.47 109.47 109.47
Sites, in units of the cell vectors:
1 U 0.000 0.000 0.000
2 P 0.857 0.354 0.211
3 P 0.354 0.497 0.143
4 P 0.789 0.143 0.646
5 P 0.354 0.211 0.857
6 P 0.211 0.857 0.354
7 P 0.646 0.503 0.857
8 P 0.497 0.143 0.354
9 P 0.503 0.857 0.646
10 P 0.646 0.789 0.143
11 P 0.857 0.646 0.503
12 P 0.143 0.354 0.497
13 P 0.143 0.646 0.789
14 Os 0.000 0.500 0.000
15 Os 0.500 0.000 0.000
16 Os 0.500 0.500 0.500
17 Os 0.000 0.000 0.500

Space-group type ... Im-3 (204)
D(E_F) ... 10.48 states/eV per cell
ΔH_f (0 K) ... -0.53 eV per atom

***

No. 7
Entry from Alexandria: CsK5Na6 after structural relaxation (PBE).

abc: 6.851 11.779 11.779
angles: 119.99 106.77 106.77
Sites, in units of the cell vectors:
1 Cs 0.000 0.000 0.000
2 Na 0.266 0.092 0.439
3 Na 0.734 0.561 0.908
4 Na 0.778 0.279 0.279
5 Na 0.222 0.721 0.721
6 Na 0.266 0.439 0.092
7 Na 0.734 0.908 0.561
8 K 0.500 0.161 0.839
9 K 0.000 0.330 0.670
10 K 0.500 0.500 0.500
11 K 0.000 0.670 0.330
12 K 0.500 0.839 0.161

Space-group type ... C2/m (12)
D(E_F) ... 6.78 states/eV per cell
ΔH_f (0 K) ... 0.03 eV per atom

***

No. 8
Entry from Alexandria: Tb12TmTh5 after structural relaxation (PBE).

abc: 15.067 10.678 5.059
angles: 90.00 90.00 45.15
Sites, in units of the cell vectors:
1 Tb 0.835 0.000 0.500
2 Tb 0.165 0.000 0.500
3 Tb 0.661 0.000 0.000
4 Tb 0.339 0.000 0.000
5 Tb 0.328 0.668 0.000
6 Tb 0.004 0.668 0.000
7 Tb 0.996 0.332 0.000
8 Tb 0.672 0.332 0.000
9 Tb 0.495 0.334 0.500
10 Tb 0.829 0.666 0.500
11 Tb 0.171 0.334 0.500
12 Tb 0.505 0.666 0.500
13 Tm 0.000 0.000 0.000
14 Th 0.500 0.000 0.500
15 Th 0.165 0.669 0.500
16 Th 0.835 0.331 0.500
17 Th 0.668 0.664 0.000
18 Th 0.332 0.336 0.000

Space-group type ... Cmmm (65)
D(E_F) ... 26.01 states/eV per cell
ΔH_f (0 K) ... 0.03 eV per atom

***

Look up the D(E_F) of the third one. 2.88 states/eV per cell